This record from Alexandria via LeMat-Bulk describes crystalline LiHg2As at its relaxed geometry. The functional is GGA-PBE.

```
4
Lattice="5.268 0.058 0.015 4.310 3.029 0.015 0.798 0.257 5.319" Properties=species:S:1:pos:R:3 pbc="T T T"
As 2.594 0.836 1.337
Li 7.782 2.508 4.011
Hg 0.942 0.304 5.252
Hg 5.044 1.626 2.741
```

Output
- Magnetic moment: 0.000 μB/atom
- Formation energy from the elements: -0.08 eV per atom
- Energy: -1.867 eV/atom